DFT (PBE) results for crystalline KSbN3 at its relaxed geometry.

The crystal system is cubic. The formation energy without anion corrections comes out at 5.9 eV per formula unit. The calculation puts the total moment at 3.0 μB per formula unit.

The space group is Pm-3m (No. 221) and the conventional cell measures 4.191, 4.191 and 4.191 Å, with angles of 90.00, 90.00 and 90.00 degrees. The asymmetric unit holds K at (0.000, 0.000, 0.000), Sb at (0.500, 0.500, 0.500) and N at (0.000, 0.500, 0.500).